The following is a meta-GGA SCAN calculation of a crystal of La2CdTe relaxed with PBEsol, from Alexandria.

Results
As for the symmetry: Cmmm (65). As for the calculated volume: 28.5 Å³ per atom. The uncorrected formation energy is -359.1 kJ/mol of formula units. The polymorph energy (0 for the lowest one) is 0 meV/atom.

Cell lengths 3.8444, 5.4899, 5.4899 Å; angles 100.09, 90.00, 90.00 degrees
Fractional positions:
Cd (0.5000, 0.5000, 0.5000)
Te (0.5000, 0.0000, 0.0000)
La (0.0000, 0.5000, 0.0000)
La (0.0000, 0.0000, 0.5000)

=====

The following is a meta-GGA SCAN calculation of a crystal of La2CdTe relaxed with PBEsol, from Alexandria.

Results
As for the symmetry: I-4m2 (119). As for the calculated volume: 28.6 Å³ per atom. The uncorrected formation energy is -304.2 kJ/mol of formula units. The polymorph energy (0 for the lowest one) is 142 meV/atom.

Cell lengths 4.5807, 4.5807, 6.3352 Å; angles 111.19, 111.19, 90.00 degrees
Fractional positions:
Cd (0.2500, 0.7500, 0.5000)
Te (0.5000, 0.5000, 0.0000)
La (0.0000, 0.0000, 0.0000)
La (0.7500, 0.2500, 0.5000)

=====

The following is a meta-GGA SCAN calculation of a crystal of LaCdTe relaxed with PBEsol, from Alexandria.

Results
As for the symmetry: F-43m (216). As for the calculated volume: 33.7 Å³ per atom. The uncorrected formation energy is -195.5 kJ/mol of formula units.

Cell lengths 5.2291, 5.2291, 5.2291 Å; angles 60.00, 60.00, 60.00 degrees
Fractional positions:
Cd (0.5000, 0.5000, 0.5000)
Te (0.0000, 0.0000, 0.0000)
La (0.2500, 0.2500, 0.2500)

=====

The following is a meta-GGA SCAN calculation of a crystal of La3TiCd relaxed with PBEsol, from Alexandria.

Results
The value obtained for the calculated total energy is -34.855 eV per atom. As for the symmetry: Pm-3m (221). As for the calculated volume: 32.0 Å³ per atom.

Cell lengths 5.4265, 5.4265, 5.4265 Å; angles 90.00, 90.00, 90.00 degrees
Fractional positions:
Cd (0.5000, 0.5000, 0.5000)
Ti (0.0000, 0.0000, 0.0000)
La (0.0000, 0.5000, 0.0000)
La (0.0000, 0.0000, 0.5000)
La (0.5000, 0.0000, 0.0000)

=====

The following is a meta-GGA SCAN calculation of a crystal of LaTlCd relaxed with PBEsol, from Alexandria.

Results
The value obtained for the calculated total energy is -49.150 eV per atom. As for the symmetry: P3m1 (156). As for the calculated volume: 26.6 Å³ per atom.

Cell lengths 3.6597, 5.0209, 5.0209 Å; angles 120.00, 90.00, 90.00 degrees
Last column: magnetic moment on the atom in μB.
Fractional positions:
Tl (0.1676, 0.3333, 0.6667)  -0.01
La (0.6663, 0.6667, 0.3333)  -0.21
Cd (0.1660, 0.0000, 0.0000)  -0.01

=====

The following is a meta-GGA SCAN calculation of a crystal of LaTlCd relaxed with PBEsol, from Alexandria.

Results
The value obtained for the calculated total energy is -49.138 eV per atom. As for the symmetry: F-43m (216). As for the calculated volume: 30.0 Å³ per atom.

Cell lengths 5.0327, 5.0327, 5.0327 Å; angles 60.00, 60.00, 60.00 degrees
Fractional positions:
Tl (0.7500, 0.7500, 0.7500)
La (0.5000, 0.5000, 0.5000)
Cd (0.0000, 0.0000, 0.0000)

=====

The following is a meta-GGA SCAN calculation of a crystal of LaTl3Cd relaxed with PBEsol, from Alexandria.

Results
The value obtained for the calculated total energy is -57.520 eV per atom. As for the symmetry: Pm-3m (221). As for the calculated volume: 44.2 Å³ per atom.

Cell lengths 6.0446, 6.0446, 6.0446 Å; angles 90.00, 90.00, 90.00 degrees
Fractional positions:
Tl (0.0000, 0.5000, 0.0000)
Tl (0.0000, 0.0000, 0.5000)
Tl (0.5000, 0.0000, 0.0000)
Cd (0.5000, 0.5000, 0.5000)
La (0.0000, 0.0000, 0.0000)

=====

The following is a meta-GGA SCAN calculation of a crystal of La2Tl2Cd relaxed with PBEsol, from Alexandria.

Results
The value obtained for the calculated total energy is -52.821 eV per atom. As for the symmetry: P4/mbm (127). As for the calculated volume: 29.1 Å³ per atom.

Cell lengths 4.8356, 7.7555, 7.7555 Å; angles 90.00, 90.00, 90.00 degrees
Fractional positions:
Tl (0.0000, 0.3620, 0.8620)
Tl (0.0000, 0.8620, 0.6380)
Tl (0.0000, 0.6380, 0.1380)
Tl (0.0000, 0.1380, 0.3620)
Cd (0.0000, 0.0000, 0.0000)
Cd (0.0000, 0.5000, 0.5000)
La (0.5000, 0.1671, 0.6671)
La (0.5000, 0.6671, 0.8329)
La (0.5000, 0.8329, 0.3329)
La (0.5000, 0.3329, 0.1671)

=====

The following is a meta-GGA SCAN calculation of a crystal of LaTlCd3 relaxed with PBEsol, from Alexandria.

Results
The value obtained for the calculated total energy is -41.093 eV per atom. As for the symmetry: Pm-3m (221). As for the calculated volume: 30.4 Å³ per atom.

Cell lengths 5.3390, 5.3390, 5.3390 Å; angles 90.00, 90.00, 90.00 degrees
Fractional positions:
Tl (0.0000, 0.0000, 0.0000)
Cd (0.0000, 0.5000, 0.0000)
Cd (0.0000, 0.0000, 0.5000)
Cd (0.5000, 0.0000, 0.0000)
La (0.5000, 0.5000, 0.5000)

=====

The following is a meta-GGA SCAN calculation of a crystal of LaTlCd relaxed with PBEsol, from Alexandria.

Results
The value obtained for the calculated total energy is -49.170 eV per atom. As for the symmetry: P6_3/mmc (194). As for the calculated volume: 26.8 Å³ per atom.

Cell lengths 4.9948, 4.9948, 7.4291 Å; angles 90.00, 90.00, 120.00 degrees
Last column: magnetic moment on the atom in μB.
Fractional positions:
Tl (0.6667, 0.3333, 0.2500)  -0.01
Tl (0.3333, 0.6667, 0.7500)  -0.01
La (0.0000, 0.0000, 0.0000)  -0.16
La (0.0000, 0.0000, 0.5000)  -0.16
Cd (0.6667, 0.3333, 0.7500)  0.00
Cd (0.3333, 0.6667, 0.2500)  0.00

=====

The following is a meta-GGA SCAN calculation of a crystal of LaCd2W relaxed with PBEsol, from Alexandria.

Results
As for the symmetry: Immm (71). As for the calculated volume: 21.6 Å³ per atom. The polymorph energy (0 for the lowest one) is 0 meV/atom.

Cell lengths 3.3290, 4.8069, 6.1443 Å; angles 113.03, 105.72, 90.00 degrees
Fractional positions:
Cd (0.7209, 0.7209, 0.4418)
Cd (0.2791, 0.2791, 0.5582)
La (0.5000, 0.0000, 0.0000)
W (0.0000, 0.5000, 0.0000)

=====

The following is a meta-GGA SCAN calculation of a crystal of LaCdW3 relaxed with PBEsol, from Alexandria.

Results
The value obtained for the calculated total energy is -53.471 eV per atom. As for the symmetry: Pm-3m (221). As for the calculated volume: 22.2 Å³ per atom.

Cell lengths 4.8068, 4.8068, 4.8068 Å; angles 90.00, 90.00, 90.00 degrees
Fractional positions:
Cd (0.5000, 0.5000, 0.5000)
W (0.0000, 0.5000, 0.0000)
W (0.0000, 0.0000, 0.5000)
W (0.5000, 0.0000, 0.0000)
La (0.0000, 0.0000, 0.0000)

=====

The following is a meta-GGA SCAN calculation of a crystal of LaCd2W relaxed with PBEsol, from Alexandria.

Results
As for the symmetry: Cmmm (65). As for the calculated volume: 20.9 Å³ per atom. The polymorph energy (0 for the lowest one) is 84 meV/atom.

Cell lengths 3.0066, 5.5985, 5.5985 Å; angles 117.66, 90.04, 90.04 degrees
Fractional positions:
Cd (0.0000, 0.5000, 0.0000)
Cd (0.0000, 0.0000, 0.5000)
La (0.5000, 0.5000, 0.5000)
W (0.5000, 0.0000, 0.0000)

=====

The following is a meta-GGA SCAN calculation of a crystal of La3CdW relaxed with PBEsol, from Alexandria.

Results
The value obtained for the calculated total energy is -45.593 eV per atom. As for the symmetry: Pm-3m (221). As for the calculated volume: 32.6 Å³ per atom.

Cell lengths 5.4616, 5.4616, 5.4616 Å; angles 90.00, 90.00, 90.00 degrees
Fractional positions:
Cd (0.5000, 0.5000, 0.5000)
W (0.0000, 0.0000, 0.0000)
La (0.0000, 0.5000, 0.0000)
La (0.0000, 0.0000, 0.5000)
La (0.5000, 0.0000, 0.0000)

=====

The following is a meta-GGA SCAN calculation of a crystal of LaCdW2 relaxed with PBEsol, from Alexandria.

Results
The value obtained for the calculated total energy is -52.766 eV per atom. As for the symmetry: Cmm2 (35). As for the calculated volume: 19.7 Å³ per atom.

Cell lengths 2.9035, 2.9035, 10.0576 Å; angles 90.00, 90.00, 111.55 degrees
Fractional positions:
Cd (0.0000, 0.0000, 0.5287)
La (0.5000, 0.5000, 0.2323)
W (0.0000, 0.0000, 0.9683)
W (0.5000, 0.5000, 0.7707)

=====

The following is a meta-GGA SCAN calculation of a crystal of LaCdW relaxed with PBEsol, from Alexandria.

Results
As for the symmetry: Imm2 (44). As for the calculated volume: 22.5 Å³ per atom. The polymorph energy (0 for the lowest one) is 0 meV/atom.

Cell lengths 2.9691, 3.8897, 6.3315 Å; angles 107.89, 103.56, 90.00 degrees
Fractional positions:
Cd (0.9735, 0.9735, 0.9469)
W (0.3494, 0.3494, 0.6988)
La (0.6771, 0.6771, 0.3543)

=====

The following is a meta-GGA SCAN calculation of a crystal of LaCd2W relaxed with PBEsol, from Alexandria.

Results
As for the symmetry: C2/m (12). As for the calculated volume: 21.4 Å³ per atom. The polymorph energy (0 for the lowest one) is 23 meV/atom.

Cell lengths 2.9829, 5.3413, 5.6853 Å; angles 101.39, 105.21, 90.00 degrees
Fractional positions:
Cd (0.2682, 0.2771, 0.5364)
Cd (0.7318, 0.7229, 0.4636)
La (0.5000, 0.0000, 0.0000)
W (0.0000, 0.5000, 0.0000)

=====

The following is a meta-GGA SCAN calculation of a crystal of LaCdW relaxed with PBEsol, from Alexandria.

Results
As for the symmetry: P-6m2 (187). As for the calculated volume: 21.9 Å³ per atom. The polymorph energy (0 for the lowest one) is 39 meV/atom.

Cell lengths 2.8618, 5.1435, 5.1435 Å; angles 120.00, 90.00, 90.00 degrees
Fractional positions:
Cd (0.1660, 0.0000, 0.0000)
W (0.1674, 0.6667, 0.3333)
La (0.6666, 0.3333, 0.6667)

=====

The following is a meta-GGA SCAN calculation of a crystal of LaY2Cd2 relaxed with PBEsol, from Alexandria.

Results
The value obtained for the calculated total energy is -32.239 eV per atom. As for the symmetry: P4/mbm (127). As for the calculated volume: 27.8 Å³ per atom.

Cell lengths 3.7422, 8.6264, 8.6264 Å; angles 90.00, 90.00, 90.00 degrees
Fractional positions:
Y (0.5000, 0.1704, 0.6704)
Y (0.5000, 0.6704, 0.8296)
Y (0.5000, 0.8296, 0.3296)
Y (0.5000, 0.3296, 0.1704)
Cd (0.0000, 0.3748, 0.8748)
Cd (0.0000, 0.8748, 0.6252)
Cd (0.0000, 0.6252, 0.1252)
Cd (0.0000, 0.1252, 0.3748)
La (0.0000, 0.0000, 0.0000)
La (0.0000, 0.5000, 0.5000)

=====

The following is a meta-GGA SCAN calculation of a crystal of La2YCd2 relaxed with PBEsol, from Alexandria.

Results
The value obtained for the calculated total energy is -35.259 eV per atom. As for the symmetry: P4/mbm (127). As for the calculated volume: 29.7 Å³ per atom.

Cell lengths 3.7539, 8.8976, 8.8976 Å; angles 90.00, 90.00, 90.00 degrees
Fractional positions:
Y (0.0000, 0.0000, 0.0000)
Y (0.0000, 0.5000, 0.5000)
Cd (0.0000, 0.3780, 0.8780)
Cd (0.0000, 0.8780, 0.6220)
Cd (0.0000, 0.6220, 0.1220)
Cd (0.0000, 0.1220, 0.3780)
La (0.5000, 0.1740, 0.6740)
La (0.5000, 0.6740, 0.8260)
La (0.5000, 0.8260, 0.3260)
La (0.5000, 0.3260, 0.1740)

=====

The following is a meta-GGA SCAN calculation of a crystal of LaY2Cd relaxed with PBEsol, from Alexandria.

Results
The value obtained for the calculated total energy is -32.500 eV per atom. As for the symmetry: P4mm (99). As for the calculated volume: 29.4 Å³ per atom.

Cell lengths 3.6162, 3.6162, 8.9987 Å; angles 90.00, 90.00, 90.00 degrees
Last column: magnetic moment on the atom in μB.
Fractional positions:
Y (0.0000, 0.0000, 0.0104)  0.03
Y (0.5000, 0.5000, 0.2772)  0.38
Cd (0.0000, 0.0000, 0.4852)  0.01
La (0.5000, 0.5000, 0.7272)  -0.24

=====

The following is a meta-GGA SCAN calculation of a crystal of LaY2Cd relaxed with PBEsol, from Alexandria.

Results
The value obtained for the calculated total energy is -32.444 eV per atom. As for the symmetry: Pmm2 (25). As for the calculated volume: 28.7 Å³ per atom.

Cell lengths 3.5777, 4.6825, 6.8494 Å; angles 90.00, 90.00, 90.00 degrees
Fractional positions:
Y (0.5000, 0.0000, 0.0118)
Y (0.0000, 0.5000, 0.2632)
Cd (0.5000, 0.0000, 0.4903)
La (0.0000, 0.5000, 0.7346)

=====

The following is a meta-GGA SCAN calculation of a crystal of LaY2Cd relaxed with PBEsol, from Alexandria.

Results
The value obtained for the calculated total energy is -32.414 eV per atom. As for the symmetry: R-3m (166). As for the calculated volume: 29.4 Å³ per atom.

Cell lengths 3.5669, 3.5669, 10.8852 Å; angles 80.57, 80.57, 60.00 degrees
Fractional positions:
Y (0.2423, 0.2423, 0.2731)
Y (0.7577, 0.7577, 0.7269)
Cd (0.5000, 0.5000, 0.5000)
La (0.0000, 0.0000, 0.0000)

=====

The following is a meta-GGA SCAN calculation of a crystal of LaY2Cd relaxed with PBEsol, from Alexandria.

Results
The value obtained for the calculated total energy is -32.448 eV per atom. As for the symmetry: P4/mmm (123). As for the calculated volume: 28.4 Å³ per atom.

Cell lengths 4.8427, 4.8427, 4.8410 Å; angles 90.00, 90.00, 90.00 degrees
Fractional positions:
Y (0.0000, 0.5000, 0.0000)
Y (0.5000, 0.0000, 0.0000)
Cd (0.5000, 0.5000, 0.5000)
La (0.0000, 0.0000, 0.5000)

=====

The following is a meta-GGA SCAN calculation of a crystal of LaY2Cd relaxed with PBEsol, from Alexandria.

Results
The value obtained for the calculated total energy is -32.506 eV per atom. As for the symmetry: Immm (71). As for the calculated volume: 29.5 Å³ per atom.

Cell lengths 3.7648, 5.5457, 6.5765 Å; angles 114.94, 106.63, 90.00 degrees
Fractional positions:
Y (0.7778, 0.7778, 0.5557)
Y (0.2222, 0.2222, 0.4443)
La (0.0000, 0.5000, 0.0000)
Cd (0.5000, 0.0000, 0.0000)

=====

The following is a meta-GGA SCAN calculation of a crystal of LaY2Cd relaxed with PBEsol, from Alexandria.

Results
The value obtained for the calculated total energy is -32.503 eV per atom. As for the symmetry: Imm2 (44). As for the calculated volume: 29.2 Å³ per atom.

Cell lengths 3.7761, 5.3694, 6.6252 Å; angles 113.91, 106.56, 90.00 degrees
Fractional positions:
Y (0.0037, 0.5037, 0.0074)
Y (0.7801, 0.7801, 0.5602)
La (0.2247, 0.2247, 0.4495)
Cd (0.4915, 0.9915, 0.9829)

=====

The following is a meta-GGA SCAN calculation of a crystal of LaY2Cd relaxed with PBEsol, from Alexandria.

Results
The value obtained for the calculated total energy is -32.445 eV per atom. As for the symmetry: I-4m2 (119). As for the calculated volume: 28.1 Å³ per atom.

Cell lengths 4.7752, 4.7752, 5.9700 Å; angles 113.57, 113.57, 90.00 degrees
Fractional positions:
Y (0.0000, 0.0000, 0.0000)
Y (0.7500, 0.2500, 0.5000)
Cd (0.5000, 0.5000, 0.0000)
La (0.2500, 0.7500, 0.5000)

=====

The following is a meta-GGA SCAN calculation of a crystal of LaZnCd2 relaxed with PBEsol, from Alexandria.

Results
The value obtained for the calculated total energy is -29.329 eV per atom. As for the symmetry: R-3m (166). As for the calculated volume: 23.8 Å³ per atom.

Cell lengths 3.4217, 3.4217, 9.5862 Å; angles 79.72, 79.72, 60.00 degrees
Fractional positions:
Cd (0.2637, 0.2637, 0.2090)
Cd (0.7363, 0.7363, 0.7910)
La (0.5000, 0.5000, 0.5000)
Zn (0.0000, 0.0000, 0.0000)

=====

The following is a meta-GGA SCAN calculation of a crystal of La2ZnCd relaxed with PBEsol, from Alexandria.

Results
As for the symmetry: P4/mmm (123). As for the calculated volume: 26.7 Å³ per atom. The polymorph energy (0 for the lowest one) is 0 meV/atom.

Cell lengths 3.7702, 3.7702, 7.5140 Å; angles 90.00, 90.00, 90.00 degrees
Fractional positions:
Zn (0.5000, 0.5000, 0.0000)
La (0.0000, 0.0000, 0.7707)
La (0.0000, 0.0000, 0.2293)
Cd (0.5000, 0.5000, 0.5000)

=====

The following is a meta-GGA SCAN calculation of a crystal of LaZn2Cd relaxed with PBEsol, from Alexandria.

Results
The value obtained for the calculated total energy is -25.302 eV per atom. As for the symmetry: P4/mmm (123). As for the calculated volume: 20.7 Å³ per atom.

Cell lengths 3.3514, 3.3514, 7.3848 Å; angles 90.00, 90.00, 90.00 degrees
Fractional positions:
Cd (0.5000, 0.5000, 0.0000)
La (0.5000, 0.5000, 0.5000)
Zn (0.0000, 0.0000, 0.7874)
Zn (0.0000, 0.0000, 0.2126)